Record 1
Material: MnHCl3
Method: DFT, PBE-GGA
State: optimized geometry

Computed properties:
space group	Pm-3m (221)

Unit cell a=4.7610 b=4.7610 c=4.7610 alpha=90.00 beta=90.00 gamma=90.00
Closest atoms and distances in Å follow each position.
Positions (direct):
Mn 0.0000 0.0000 0.0000  6 Cl 2.38
H 0.5000 0.5000 0.5000  12 Cl 3.37
Cl 0.0000 0.0000 0.5000  2 Mn 2.38
Cl 0.0000 0.5000 0.0000  2 Mn 2.38
Cl 0.5000 0.0000 0.0000  2 Mn 2.38


Record 2
Material: MnHCl4
Method: DFT, PBE-GGA
State: optimized geometry

Computed properties:
space group	C2/c (15)

Unit cell a=9.2644 b=9.2644 c=6.0914 alpha=91.93 beta=91.93 gamma=143.31
Closest atoms and distances in Å follow each position.
Positions (direct):
Mn 0.0567 0.9433 0.7500  4 Cl 2.26-2.41
Mn 0.9433 0.0567 0.2500  4 Cl 2.26-2.41
H 0.3546 0.6454 0.2500  2 Cl 1.56
H 0.6454 0.3546 0.7500  2 Cl 1.56
Cl 0.1034 0.4049 0.1205  1 H 1.56
Cl 0.1719 0.2706 0.5782  1 Mn 2.26
Cl 0.2706 0.1719 0.0782  1 Mn 2.26
Cl 0.4049 0.1034 0.6205  1 H 1.56
Cl 0.5951 0.8966 0.3795  1 H 1.56
Cl 0.7294 0.8281 0.9218  1 Mn 2.26
Cl 0.8281 0.7294 0.4218  1 Mn 2.26
Cl 0.8966 0.5951 0.8795  1 H 1.56


Record 3
Material: MnH2Cl5
Method: DFT, PBE-GGA
State: optimized geometry

Computed properties:
space group	P1 (1)

Unit cell a=5.8502 b=7.1721 c=7.2226 alpha=110.86 beta=102.05 gamma=107.09
Closest atoms and distances in Å follow each position.
Positions (direct):
Mn 0.0000 0.0000 0.0000  4 Cl 2.17-2.42
H 0.0751 0.6960 0.6229  1 Cl 1.36
H 0.2713 0.5409 0.3819  1 Cl 1.33
Cl 0.1355 0.1747 0.8270  1 Mn 2.17
Cl 0.2675 0.2357 0.3209  1 H 2.07, 1 Mn 2.20
Cl 0.2713 0.7394 0.4442  1 H 1.33
Cl 0.6784 0.8502 0.0794  1 Mn 2.17
Cl 0.9302 0.6454 0.7376  1 H 1.36


Table of total energy (eV/atom), in record order: -3.81; -4.08; -3.81
Table of size of the total moment (μB per atom), in record order: 1.00; 0.67; 0.50
Table of volume (Å³ per atom), in record order: 21.583; 25.881; 31.685